HgNOF2 | PBE | optimized geometry

Cell and atoms, written as CIF:
```
data_HgNOF2
_chemical_formula_sum 'Hg1 N1 O1 F2'
_cell_length_a 3.714
_cell_length_b 3.714
_cell_length_c 4.052
_cell_angle_alpha 90.00
_cell_angle_beta 90.00
_cell_angle_gamma 90.00
_symmetry_space_group_name_H-M 'P 4/m m m'
_symmetry_Int_Tables_number 123
_symmetry_space_group_name_Hall '-P 4 2'
loop_
_atom_site_label
_atom_site_type_symbol
_atom_site_fract_x
_atom_site_fract_y
_atom_site_fract_z
Hg1 Hg 0.000 0.000 0.000
N1 N 0.500 0.500 0.500
O1 O 0.500 0.500 0.000
F1 F 0.000 0.500 0.500
```

Results
- excess energy over the best structure of this formula in the dataset (meV/atom) = 48
- ΔE_f (raw) (eV per atom) = 0.5155
- raw total energy (eV per atom) = -2.950